Entry 1:
GdZrCu2: optimized geometry, PBE-GGA.

DFT formation energy, eV/atom: -0.0844
ρ, g/cm3: 8.0
Energy above the lowest structure with this stoichiometry, eV/atom: 0.055

Cell: 4.7931 4.7931 4.7931 Å, 60.00 60.00 60.00°
Element x y z (fractional)
Gd (0.0000, 0.0000, 0.0000)
Cu (0.2500, 0.2500, 0.2500)
Cu (0.7500, 0.7500, 0.7500)
Zr (0.5000, 0.5000, 0.5000)

Entry 2:
CuGe: optimized geometry, PBE-GGA.

DFT formation energy, eV/atom: 0.5220
ρ, g/cm3: 5.5

Cell: 5.4873 5.4873 5.4873 Å, 90.00 90.00 90.00°
Element x y z (fractional)
Cu (0.2500, 0.2500, 0.2500)
Cu (0.2500, 0.7500, 0.7500)
Cu (0.7500, 0.2500, 0.7500)
Cu (0.7500, 0.7500, 0.2500)
Ge (0.0000, 0.0000, 0.0000)
Ge (0.0000, 0.5000, 0.5000)
Ge (0.5000, 0.0000, 0.5000)
Ge (0.5000, 0.5000, 0.0000)